TaBiTeI2 | PBE | relaxed

Lattice parameters (Å, degrees): 5.522 5.522 5.500 90.00 90.00 90.00
Each line ends with the local moment (μB).
Fractional coordinates of all 5 atoms:
I1 0.000 0.500 0.000  0.01
Te1 0.000 0.000 0.500  -0.03
I2 0.500 0.000 0.000  0.01
Bi1 0.500 0.500 0.500  0.76
Ta1 0.000 0.000 0.000  0.57

Results
SG = P4/mmm, No. 123
E_form (uncorrected) = 2.14 eV per formula unit
calculated volume = 167.7 Å³/cell

Mn2GaPb2 | PBE | relaxed

Lattice parameters (Å, degrees): 8.325 8.325 3.237 90.00 90.00 90.00
Each line ends with the local moment (μB).
Fractional coordinates of all 10 atoms:
Pb1 0.674 0.174 0.000  -0.07
Pb2 0.326 0.826 0.000  -0.07
Mn1 0.119 0.619 0.500  3.63
Mn2 0.619 0.881 0.500  3.66
Mn3 0.381 0.119 0.500  3.66
Pb3 0.826 0.674 0.000  -0.09
Mn4 0.881 0.381 0.500  3.63
Ga1 0.000 0.000 0.000  -0.01
Ga2 0.500 0.500 0.000  -0.01
Pb4 0.174 0.326 0.000  -0.09

Results
SG = P4/mbm, No. 127
formation energy from the elements = 0.474 eV per atom
calculated volume = 224.3 Å³/cell

MgUPb2O6 | PBE | relaxed

Lattice parameters (Å, degrees): 5.879 5.899 8.322 90.00 89.87 90.00
Fractional coordinates of all 20 atoms:
O1 0.927 0.515 0.247
O2 0.714 0.290 0.965
O3 0.711 0.281 0.540
Pb1 0.006 0.975 0.253
Pb2 0.506 0.525 0.753
O4 0.214 0.211 0.465
Mg1 0.500 0.000 0.000
O5 0.289 0.719 0.460
Pb3 0.994 0.025 0.747
U1 0.000 0.500 0.000
O6 0.573 0.015 0.253
Mg2 0.000 0.500 0.500
O7 0.073 0.485 0.753
O8 0.427 0.985 0.747
O9 0.286 0.710 0.035
O10 0.786 0.789 0.535
O11 0.789 0.781 0.960
U2 0.500 0.000 0.500
Pb4 0.494 0.475 0.247
O12 0.211 0.219 0.040

Results
SG = P2_1/c, No. 14
E_form (uncorrected) = -22.45 eV per formula unit
calculated volume = 288.6 Å³/cell

Gd2CuPb | PBE | relaxed

Lattice parameters (Å, degrees): 3.674 3.674 10.455 79.88 79.88 60.00
Each line ends with the local moment (μB).
Fractional coordinates of all 4 atoms:
Cu1 0.500 0.500 0.500  0.10
Pb1 0.000 0.000 0.000  -0.03
Gd1 0.896 0.896 0.313  7.30
Gd2 0.104 0.104 0.687  7.30

Results
SG = R-3m, No. 166
formation energy from the elements = 0.075 eV per atom
calculated volume = 119.7 Å³/cell

Question: Among the records above, which one has the lowest calculated volume?
Answer: Gd2CuPb

Question: Look up the calculated volume of the fourth one.
Answer: 119.7 Å³/cell